a:
# CrP2IrCl

CrP2IrCl after structural relaxation (GGA-PBE, the Alexandria database).

Cell lengths 4.5277, 4.5277, 5.0383 Å; angles 90.00, 90.00, 90.00 degrees
Atoms (fractional coordinates):
Cl 0.0000 0.0000 0.5000
Cr 0.5000 0.5000 0.5000
P 0.5000 0.0000 0.0000
P 0.0000 0.5000 0.0000
Ir 0.0000 0.0000 0.0000

## Properties
total magnetization = 0.014 μB/atom
theoretical density = 5.492 g cm⁻³
space group = P4/mmm, No. 123

=====

b:
# CrP2IrCl

CrP2IrCl after structural relaxation (GGA-PBE, the Alexandria database).

Cell lengths 4.5212, 4.5212, 4.1806 Å; angles 90.00, 90.00, 90.00 degrees
Atoms (fractional coordinates):
Ir 0.5000 0.5000 0.5000
Cr 0.0000 0.0000 0.0000
Cl 0.0000 0.0000 0.5000
P 0.5000 0.0000 0.0000
P 0.0000 0.5000 0.0000

## Properties
total magnetization = 0.000 μB/atom
theoretical density = 6.638 g cm⁻³
space group = P4/mmm, No. 123

=====

Most stable: b

=====

a:
# CrIrSCl2

CrIrSCl2 after structural relaxation (GGA-PBE, the Alexandria database).

Cell lengths 4.3420, 4.3420, 4.8273 Å; angles 90.00, 90.00, 90.00 degrees
Atoms (fractional coordinates):
Ir 0.5000 0.5000 0.5000
Cl 0.0000 0.5000 0.0000
Cl 0.5000 0.0000 0.0000
Cr 0.0000 0.0000 0.0000
S 0.0000 0.0000 0.5000

## Properties
total magnetization = 0.000 μB/atom
theoretical density = 6.335 g cm⁻³
space group = P4/mmm, No. 123

=====

b:
# CrIrSCl2

CrIrSCl2 after structural relaxation (GGA-PBE, the Alexandria database).

Cell lengths 5.0124, 5.0124, 4.4444 Å; angles 90.00, 90.00, 90.00 degrees
Atoms (fractional coordinates):
Cr 0.5000 0.5000 0.5000
S 0.0000 0.0000 0.5000
Ir 0.0000 0.0000 0.0000
Cl 0.5000 0.0000 0.0000
Cl 0.0000 0.5000 0.0000

## Properties
total magnetization = 0.919 μB/atom
theoretical density = 5.163 g cm⁻³
space group = P4/mmm, No. 123

=====

Most stable: b

=====

a:
# K2CrCl

K2CrCl after structural relaxation (GGA-PBE, the Alexandria database).

Cell lengths 4.1478, 4.1478, 9.8451 Å; angles 90.00, 90.00, 90.00 degrees
Atoms (fractional coordinates):
Cl 0.0000 0.0000 0.3084
Cr 0.5000 0.5000 0.7821
K 0.5000 0.5000 0.4116
K 0.0000 0.0000 0.9979

## Properties
total magnetization = 1.337 μB/atom
theoretical density = 1.624 g cm⁻³
space group = P4mm, No. 99

=====

b:
# K2CrCl

K2CrCl after structural relaxation (GGA-PBE, the Alexandria database).

Cell lengths 9.7702, 9.7702, 9.7702 Å; angles 157.39, 155.60, 33.51 degrees
Atoms (fractional coordinates):
Cr 0.3056 0.8056 0.5000
K 0.6786 0.1786 0.5000
K 0.9698 0.9698 0.0000
Cl 0.5460 0.5460 0.0000

## Properties
total magnetization = 1.315 μB/atom
theoretical density = 1.858 g cm⁻³
space group = Imm2, No. 44

=====

c:
# K2CrCl

K2CrCl after structural relaxation (GGA-PBE, the Alexandria database).

Cell lengths 4.1714, 3.9517, 9.0785 Å; angles 90.01, 90.00, 90.00 degrees
Atoms (fractional coordinates):
Cr 0.5000 0.6249 0.7688
K 0.0000 0.1249 0.0147
K 0.5000 0.1251 0.4316
Cl 0.0000 0.6250 0.2849

## Properties
total magnetization = 1.331 μB/atom
theoretical density = 1.838 g cm⁻³
space group = Pmm2, No. 25

=====

Most stable: b

=====

a:
# KCrCl4

KCrCl4 after structural relaxation (GGA-PBE, the Alexandria database).

Cell lengths 6.4809, 5.0640, 8.0265 Å; angles 70.82, 66.19, 50.22 degrees
Atoms (fractional coordinates):
K 0.5000 0.5000 0.0000
Cl 0.0602 0.1875 0.1920
Cl 0.3087 0.4482 0.4343
Cl 0.9398 0.8125 0.8080
Cl 0.6913 0.5518 0.5657
Cr 0.0000 0.0000 0.5000

## Properties
total magnetization = 0.500 μB/atom
theoretical density = 2.099 g cm⁻³
space group = C2/m, No. 12

=====

b:
# KCrCl4

KCrCl4 after structural relaxation (GGA-PBE, the Alexandria database).

Cell lengths 6.8829, 6.8829, 9.2080 Å; angles 111.95, 111.95, 90.00 degrees
Atoms (fractional coordinates):
Cl 0.0648 0.6905 0.6364
Cl 0.6958 0.3148 0.1364
Cl 0.0542 0.9352 0.3636
Cl 0.4405 0.8216 0.1364
Cl 0.6852 0.5595 0.8636
Cl 0.5716 0.9458 0.6364
Cl 0.3095 0.4284 0.3636
Cl 0.1784 0.3042 0.8636
K 0.7500 0.2500 0.5000
K 0.0000 0.0000 0.0000
Cr 0.5000 0.5000 0.0000
Cr 0.2500 0.7500 0.5000

## Properties
total magnetization = 0.500 μB/atom
theoretical density = 2.089 g cm⁻³
space group = I4_1/a, No. 88

=====

Most stable: b

=====

a:
# KCr3Cl

KCr3Cl after structural relaxation (GGA-PBE, the Alexandria database).

Cell lengths 5.1501, 5.1501, 5.1501 Å; angles 90.00, 90.00, 90.00 degrees
Atoms (fractional coordinates):
Cr 0.0000 0.5000 0.0000
Cr 0.5000 0.0000 0.0000
Cr 0.0000 0.0000 0.5000
Cl 0.0000 0.0000 0.0000
K 0.5000 0.5000 0.5000

## Properties
total magnetization = 2.804 μB/atom
theoretical density = 2.803 g cm⁻³
space group = Pm-3m, No. 221

=====

b:
# KCr3Cl

KCr3Cl after structural relaxation (GGA-PBE, the Alexandria database).

Cell lengths 5.9197, 5.9197, 5.9197 Å; angles 90.00, 90.00, 90.00 degrees
Atoms (fractional coordinates):
Cr 0.0000 0.0000 0.5000
Cr 0.0000 0.5000 0.0000
Cr 0.5000 0.0000 0.0000
K 0.0000 0.0000 0.0000
Cl 0.5000 0.5000 0.5000

## Properties
total magnetization = 3.200 μB/atom
theoretical density = 1.845 g cm⁻³
space group = Pm-3m, No. 221

=====

Most stable: a

=====

a:
# KCrPCl2

KCrPCl2 after structural relaxation (GGA-PBE, the Alexandria database).

Cell lengths 5.1312, 5.1312, 4.5683 Å; angles 90.00, 90.00, 90.00 degrees
Atoms (fractional coordinates):
K 0.5000 0.5000 0.5000
P 0.0000 0.0000 0.5000
Cl 0.0000 0.5000 0.0000
Cl 0.5000 0.0000 0.0000
Cr 0.0000 0.0000 0.0000

## Properties
total magnetization = 0.400 μB/atom
theoretical density = 2.664 g cm⁻³
space group = P4/mmm, No. 123

=====

b:
# KCrPCl2

KCrPCl2 after structural relaxation (GGA-PBE, the Alexandria database).

Cell lengths 5.7892, 5.7892, 5.8721 Å; angles 90.00, 90.00, 90.00 degrees
Atoms (fractional coordinates):
Cl 0.0000 0.5000 0.0000
Cl 0.5000 0.0000 0.0000
Cr 0.5000 0.5000 0.5000
P 0.0000 0.0000 0.5000
K 0.0000 0.0000 0.0000

## Properties
total magnetization = 1.572 μB/atom
theoretical density = 1.628 g cm⁻³
space group = P4/mmm, No. 123

=====

Most stable: a